(1)
Entry from the Alexandria database: NpH8Pd4Rh after structural relaxation (PBE).

CIF file:
```
data_NpH8Pd4Rh
_cell_length_a 5.7658
_cell_length_b 5.7658
_cell_length_c 14.0947
_cell_angle_alpha 90.00
_cell_angle_beta 90.00
_cell_angle_gamma 120.00
_space_group_name_H-M_alt 'R 3 m'
_space_group_IT_number 160
_space_group_name_Hall 'R 3 -2"'
loop_
_atom_site_label
_atom_site_type_symbol
_atom_site_fract_x
_atom_site_fract_y
_atom_site_fract_z
_atom_site_occupancy
Np1 Np 0.0000 0.0000 0.0000 1
H1 H 0.0000 0.0000 0.1585 1
H2 H 0.0000 0.0000 0.6160 1
H3 H 0.0236 0.5118 0.1223 1
H4 H 0.2150 0.4301 0.9567 1
Pd1 Pd 0.0000 0.0000 0.7532 1
Pd2 Pd 0.1694 0.3388 0.2079 1
Rh1 Rh 0.0000 0.0000 0.3776 1
```

Results
Raw total energy = -207.16 eV for the cell shown
Density of states at the Fermi level = 21.39 states/eV/cell

(2)
Entry from the Alexandria database: SrSb2Au after structural relaxation (PBE).

CIF file:
```
data_SrSb2Au
_cell_length_a 4.187
_cell_length_b 4.942
_cell_length_c 10.613
_cell_angle_alpha 90.00
_cell_angle_beta 90.00
_cell_angle_gamma 90.00
_space_group_name_H-M_alt 'I m m m'
_space_group_IT_number 71
_space_group_name_Hall '-I 2 2'
loop_
_atom_site_label
_atom_site_type_symbol
_atom_site_fract_x
_atom_site_fract_y
_atom_site_fract_z
_atom_site_occupancy
Sr1 Sr 0.000 0.000 0.000 1
Sb1 Sb 0.000 0.500 0.225 1
Au1 Au 0.000 0.000 0.500 1
```

Results
Raw total energy = -29.58 eV for the cell shown
ΔE_f (raw) = -396 meV/atom
Density of states at the Fermi level = 4.87 states/eV/cell

(3)
Entry from the Alexandria database: NbTcNi after structural relaxation (PBE).

CIF file:
```
data_NbTcNi
_cell_length_a 4.492
_cell_length_b 4.903
_cell_length_c 5.198
_cell_angle_alpha 95.66
_cell_angle_beta 115.03
_cell_angle_gamma 115.15
_space_group_name_H-M_alt 'P 1'
_space_group_IT_number 1
loop_
_space_group_symop_operation_xyz
'x,y,z'
loop_
_atom_site_label
_atom_site_type_symbol
_atom_site_fract_x
_atom_site_fract_y
_atom_site_fract_z
_atom_site_occupancy
Nb1 Nb 0.000 0.000 0.000 1
Nb2 Nb 0.230 0.780 0.509 1
Tc1 Tc 0.333 0.659 0.020 1
Tc2 Tc 0.640 0.319 0.985 1
Ni1 Ni 0.596 0.446 0.511 1
Ni2 Ni 0.940 0.156 0.493 1
```

Results
Raw total energy = -52.69 eV for the cell shown
Excess energy over the best structure of this formula in the dataset = 0.33 eV per formula unit
Density of states at the Fermi level = 6.02 states/eV/cell
DFT formation energy = -43 meV per atom

(4)
Entry from the Alexandria database: PdAu after structural relaxation (PBE).

CIF file:
```
data_PdAu
_cell_length_a 8.512
_cell_length_b 8.512
_cell_length_c 3.955
_cell_angle_alpha 90.00
_cell_angle_beta 90.00
_cell_angle_gamma 90.00
_space_group_name_H-M_alt 'I 4/m m m'
_space_group_IT_number 139
_space_group_name_Hall '-I 4 2'
loop_
_atom_site_label
_atom_site_type_symbol
_atom_site_fract_x
_atom_site_fract_y
_atom_site_fract_z
_atom_site_occupancy
Pd1 Pd 0.000 0.334 0.000 1
Au1 Au 0.163 0.163 0.500 1
```

Results
Raw total energy = -67.28 eV for the cell shown
Density of states at the Fermi level = 9.15 states/eV/cell
DFT formation energy = 30 meV per atom

Q: The lowest raw total energy belongs to which entry?
A: NpH8Pd4Rh